Model 1:
! GGA-PBE Y2Mo2Ir, optimized geometry; values from VASP
&SYSTEM
  ibrav = 0, nat = 20, ntyp = 3
/
ATOMIC_SPECIES
Y 88.91 Y.upf
Mo 95.94 Mo.upf
Ir 192.22 Ir.upf
CELL_PARAMETERS angstrom
10.3892 0.0000 0.0007
0.0000 4.4539 0.0000
-4.4746 0.0000 9.2201
ATOMIC_POSITIONS crystal
Y 0.4036 0.0000 0.8142
Y 0.5964 0.0000 0.1858
Y 0.4036 0.5000 0.3142
Y 0.5964 0.5000 0.6858
Y 0.1874 0.0000 0.0072
Y 0.8126 0.0000 0.9928
Y 0.1874 0.5000 0.5072
Y 0.8126 0.5000 0.4928
Mo 0.8789 0.0000 0.7115
Mo 0.1211 0.0000 0.2885
Mo 0.8789 0.5000 0.2115
Mo 0.1211 0.5000 0.7885
Mo 0.0834 0.0000 0.6426
Mo 0.9166 0.0000 0.3574
Mo 0.0834 0.5000 0.1426
Mo 0.9166 0.5000 0.8574
Ir 0.3810 0.0000 0.5126
Ir 0.6190 0.0000 0.4874
Ir 0.3810 0.5000 0.0126
Ir 0.6190 0.5000 0.9874
! - density of states at the Fermi level (states/eV per cell) = 18.1
! - space-group type = C2/m (12)

Model 2:
! GGA-PBE Y2Mo2Ir, optimized geometry; values from VASP
&SYSTEM
  ibrav = 0, nat = 20, ntyp = 3
/
ATOMIC_SPECIES
Y 88.91 Y.upf
Mo 95.94 Mo.upf
Ir 192.22 Ir.upf
CELL_PARAMETERS angstrom
-5.7433 -7.0078 -2.0501
1.9200 -0.4151 -3.9598
7.3095 -5.9206 4.1647
ATOMIC_POSITIONS crystal
Y 0.0835 0.0000 0.6502
Y 0.9165 0.0000 0.3498
Y 0.0835 0.5000 0.1502
Y 0.9165 0.5000 0.8498
Y 0.3207 0.0000 0.4077
Y 0.6793 0.0000 0.5923
Y 0.3207 0.5000 0.9077
Y 0.6793 0.5000 0.0923
Mo 0.6142 0.0000 0.8959
Mo 0.3858 0.0000 0.1041
Mo 0.6142 0.5000 0.3959
Mo 0.3858 0.5000 0.6041
Mo 0.3891 0.0000 0.7358
Mo 0.6109 0.0000 0.2642
Mo 0.3891 0.5000 0.2358
Mo 0.6109 0.5000 0.7642
Ir 0.1261 0.0000 0.9410
Ir 0.8739 0.0000 0.0590
Ir 0.1261 0.5000 0.4410
Ir 0.8739 0.5000 0.5590
! - density of states at the Fermi level (states/eV per cell) = 18.8
! - space-group type = C2/m (12)

Stability, lowest: model 2